No. 1
A geometry-optimized Tb3CeN4 structure. Source: Alexandria, functional GGA-PBE.

The structure belongs to space group P2/c (No. 13); the cell edges are 6.0811, 7.0231 and 6.0857 Å and the angles 90.00°, 109.48° and 90.00°. The inequivalent atoms are Tb at (0.0000, 0.1229, 0.2500), Tb at (0.0000, 0.3730, 0.7500), Tb at (0.5000, 0.1233, 0.7500), Ce at (0.5000, 0.3726, 0.2500), N at (0.2504, 0.1269, 0.0024) and N at (0.2534, 0.3763, 0.4990).

The energy above the lowest structure with this stoichiometry is 0.000 eV per atom. The formation energy without anion corrections is -1.63 eV/atom.

=====

No. 2
A geometry-optimized Tb2CeN structure. Source: Alexandria, functional GGA-PBE.

The structure belongs to space group P4/mmm (No. 123); the cell edges are 3.1455, 3.1455 and 8.6689 Å and the angles 90.00°, 90.00° and 90.00°. The inequivalent atoms are Tb at (0.0000, 0.0000, 0.1639), Ce at (0.5000, 0.5000, 0.5000) and N at (0.5000, 0.5000, 0.0000).

The energy above the lowest structure with this stoichiometry is 0.467 eV per atom. The formation energy without anion corrections is -0.18 eV/atom.

=====

No. 3
A geometry-optimized TbCe4N5 structure. Source: Alexandria, functional GGA-PBE.

The structure belongs to space group I4/mmm (No. 139); the cell edges are 3.5552, 3.5552 and 25.1016 Å and the angles 90.00°, 90.00° and 90.00°. The inequivalent atoms are Tb at (0.0000, 0.0000, 0.0000), Ce at (0.0000, 0.0000, 0.1998), Ce at (0.0000, 0.0000, 0.4011), N at (0.0000, 0.0000, 0.0983), N at (0.0000, 0.0000, 0.3004) and N at (0.0000, 0.0000, 0.5000).

The formation energy without anion corrections is -1.53 eV/atom.

=====

No. 4
A geometry-optimized Tb4CeN4 structure. Source: Alexandria, functional GGA-PBE.

The structure belongs to space group I4/m (No. 87); the cell edges are 7.8972, 7.8972 and 4.9596 Å and the angles 90.00°, 90.00° and 90.00°. The inequivalent atoms are Tb at (0.1077, 0.3122, 0.0000), Ce at (0.0000, 0.0000, 0.5000) and N at (0.0961, 0.2966, 0.5000).

The energy above the lowest structure with this stoichiometry is 0.000 eV per atom. The formation energy without anion corrections is -1.41 eV/atom.

=====

No. 5
A geometry-optimized Tb5CeN6 structure. Source: Alexandria, functional GGA-PBE.

The structure belongs to space group C2/m (No. 12); the cell edges are 6.0716, 10.5156 and 6.0723 Å and the angles 90.00°, 109.44° and 90.00°. The inequivalent atoms are Tb at (0.0000, 0.0000, 0.0000), Tb at (0.0000, 0.1665, 0.5000), Tb at (0.0000, 0.3328, 0.0000), Ce at (0.0000, 0.5000, 0.5000), N at (0.2471, 0.5000, 0.2530) and N at (0.2478, 0.3352, 0.7489).

The formation energy without anion corrections is -1.65 eV/atom.

=====

No. 6
A geometry-optimized TbCe3N structure. Source: Alexandria, functional GGA-PBE.

The structure belongs to space group Pm-3m (No. 221); the cell edges are 4.9478, 4.9478 and 4.9478 Å and the angles 90.00°, 90.00° and 90.00°. The inequivalent atoms are Tb at (0.0000, 0.0000, 0.0000), Ce at (0.0000, 0.5000, 0.5000) and N at (0.5000, 0.5000, 0.5000).

The formation energy without anion corrections is -0.52 eV/atom.